# Fe3Au4 (meta-GGA SCAN, single point on PBEsol structure)
# **DFT formation energy**: -0.023 eV per atom
# **Total magnetic moment**: 1.28 μB/atom
data_Fe3Au4
_cell_length_a 2.869
_cell_length_b 2.869
_cell_length_c 24.919
_cell_angle_alpha 90.00
_cell_angle_beta 90.00
_cell_angle_gamma 90.00
_space_group_name_H-M_alt 'I 4/m m m'
_space_group_IT_number 139
_space_group_name_Hall '-I 4 2'
loop_
_atom_site_label
_atom_site_type_symbol
_atom_site_fract_x
_atom_site_fract_y
_atom_site_fract_z
Fe1 Fe 0.000 0.000 0.000
Fe2 Fe 0.000 0.000 0.275
Au1 Au 0.000 0.000 0.154
Au2 Au 0.000 0.000 0.430